Material: Si3SBr
Method: DFT, PBE
State: optimized geometry

Cell and atoms, written as POSCAR:
```
Si3SBr
1.0
4.908 0.000 0.000
0.000 4.908 0.000
0.000 0.000 4.908
Si S Br
3 1 1
Cartesian
0.000 0.000 2.454 Si
0.000 2.454 0.000 Si
2.454 0.000 0.000 Si
0.000 0.000 0.000 S
2.454 2.454 2.454 Br
```

Properties
total moment = 1.1 μB/cell
electronic total energy = -3.435 eV/atom
space-group type = No. 221
calculated volume = 23.65 A^3/atom

***

Material: BaMgPt2
Method: DFT, PBE
State: optimized geometry

Cell and atoms, written as POSCAR:
```
BaMgPt2
1.0
7.785 0.000 0.000
0.000 7.785 0.000
0.000 0.000 6.347
Ba Mg Pt
4 4 8
Cartesian
0.000 0.000 0.000 Ba
0.000 3.892 1.587 Ba
3.892 0.000 4.760 Ba
3.892 3.892 3.173 Ba
0.000 0.000 3.173 Mg
0.000 3.892 4.760 Mg
3.892 0.000 1.587 Mg
3.892 3.892 0.000 Mg
1.555 1.946 3.967 Pt
1.946 5.448 5.553 Pt
1.946 6.229 2.380 Pt
2.337 1.946 0.793 Pt
5.448 5.839 0.793 Pt
5.839 1.555 2.380 Pt
5.839 2.337 5.553 Pt
6.229 5.839 3.967 Pt
```

Properties
total moment = 0.0 μB/cell
electronic total energy = -4.241 eV/atom
space-group type = No. 122
calculated volume = 24.04 A^3/atom
formation enthalpy at 0 K = -341 meV/atom

***

Material: K2Nb3Br9
Method: DFT, PBE
State: optimized geometry

Cell and atoms, written as POSCAR:
```
K2Nb3Br9
1.0
5.355 -8.928 0.000
5.355 8.928 0.000
-4.311 0.000 9.422
K Nb Br
4 6 18
Cartesian
1.305 6.064 6.270 K
5.095 6.064 3.152 K
1.305 -6.064 6.270 K
5.095 -6.064 3.152 K
0.269 1.489 8.151 Nb
3.552 0.000 1.106 Nb
0.269 -1.489 8.151 Nb
6.131 1.489 1.270 Nb
2.848 0.000 8.316 Nb
6.131 -1.489 1.270 Nb
-0.791 3.514 6.385 Br
-2.104 1.842 9.223 Br
-0.883 0.000 6.316 Br
1.133 0.000 2.585 Br
5.355 3.656 0.000 Br
-2.104 -1.842 9.223 Br
2.283 1.817 6.517 Br
-0.791 -3.514 6.385 Br
4.117 1.817 2.905 Br
2.283 -1.817 6.517 Br
7.190 3.514 3.037 Br
4.117 -1.817 2.905 Br
8.503 1.842 0.199 Br
5.355 -3.656 0.000 Br
5.266 0.000 6.837 Br
7.282 0.000 3.106 Br
8.503 -1.842 0.199 Br
7.190 -3.514 3.037 Br
```

Properties
total moment = 0.0 μB/cell
electronic total energy = -4.543 eV/atom
space-group type = No. 12
calculated volume = 32.18 A^3/atom

***

Material: Tb6Ir2SI3
Method: DFT, PBE
State: optimized geometry

Cell and atoms, written as POSCAR:
```
Tb6Ir2SI3
1.0
3.605 -6.237 0.000
3.605 6.237 0.000
-2.387 0.000 7.785
Tb Ir S I
6 2 1 3
Cartesian
-0.045 2.178 6.362 Tb
1.090 0.000 1.419 Tb
-0.045 -2.178 6.362 Tb
4.868 2.178 1.423 Tb
3.734 0.000 6.366 Tb
4.868 -2.178 1.423 Tb
3.605 4.154 0.000 Ir
3.605 -4.154 0.000 Ir
3.605 0.000 0.000 S
-1.193 0.000 3.892 I
2.412 2.040 3.892 I
2.412 -2.040 3.892 I
```

Properties
total moment = 0.0 μB/cell
electronic total energy = -5.648 eV/atom
space-group type = No. 12
calculated volume = 29.18 A^3/atom

***

Material: Rb2TaClF6
Method: DFT, PBE
State: optimized geometry

Cell and atoms, written as POSCAR:
```
Rb2TaClF6
1.0
5.277 0.000 0.000
2.172 6.712 0.000
2.304 1.723 6.761
Rb Ta Cl F
2 1 1 6
Cartesian
2.185 2.696 2.161 Rb
7.567 5.739 4.600 Rb
0.000 0.000 0.000 Ta
4.876 4.217 3.381 Cl
2.808 6.816 1.824 F
3.025 3.485 6.439 F
6.105 7.596 6.186 F
3.648 0.839 0.576 F
6.728 4.950 0.323 F
6.945 1.619 4.938 F
```

Properties
total moment = 0.1 μB/cell
electronic total energy = -5.663 eV/atom
space-group type = No. 2
calculated volume = 23.95 A^3/atom

***

Material: KBeCl
Method: DFT, PBE
State: optimized geometry

Cell and atoms, written as POSCAR:
```
KBeCl
1.0
3.626 0.000 0.000
0.000 3.626 0.000
0.000 0.000 11.945
K Be Cl
2 2 2
Cartesian
0.000 0.000 0.000 K
1.813 1.813 5.973 K
0.000 0.000 8.398 Be
1.813 1.813 2.425 Be
0.000 0.000 4.053 Cl
1.813 1.813 10.025 Cl
```

Properties
total moment = 0.0 μB/cell
electronic total energy = -2.259 eV/atom
space-group type = No. 107
calculated volume = 26.18 A^3/atom

***

Material: Tb2YTc
Method: DFT, PBE
State: optimized geometry

Cell and atoms, written as POSCAR:
```
Tb2YTc
1.0
7.471 0.000 0.000
0.000 9.213 0.000
0.000 0.000 6.269
Tb Y Tc
8 4 4
Cartesian
1.318 0.584 0.988 Tb
1.318 4.023 0.988 Tb
2.417 5.191 4.123 Tb
2.417 8.629 4.123 Tb
5.054 0.584 2.147 Tb
5.054 4.023 2.147 Tb
6.153 5.191 5.281 Tb
6.153 8.629 5.281 Tb
0.317 2.303 3.942 Y
3.419 6.910 0.807 Y
4.052 2.303 5.462 Y
7.154 6.910 2.327 Y
0.845 6.910 5.974 Tc
2.891 2.303 2.839 Tc
4.581 6.910 3.430 Tc
6.626 2.303 0.296 Tc
```

Properties
total moment = 0.0 μB/cell
electronic total energy = -6.609 eV/atom
space-group type = No. 62
calculated volume = 26.97 A^3/atom
formation enthalpy at 0 K = -87 meV/atom

***

Material: Cs3Pr2I8
Method: DFT, PBE
State: optimized geometry

Cell and atoms, written as POSCAR:
```
Cs3Pr2I8
1.0
9.049 0.000 0.000
-3.808 8.930 0.000
-4.113 -3.480 9.660
Cs Pr I
3 2 8
Cartesian
0.000 0.000 0.000 Cs
0.205 -1.235 6.104 Cs
0.924 6.685 3.556 Cs
-3.377 2.500 6.665 Pr
4.505 2.949 2.994 Pr
-3.498 -0.587 7.188 I
-1.993 1.425 3.900 I
-4.304 3.179 9.544 I
2.297 0.778 3.176 I
-1.169 4.671 6.483 I
5.432 2.271 0.116 I
3.121 4.025 5.759 I
4.627 6.036 2.472 I
```

Properties
total moment = 1.0 μB/cell
electronic total energy = -3.277 eV/atom
space-group type = No. 2
calculated volume = 60.04 A^3/atom

***

Material: PrTh2Rh
Method: DFT, PBE
State: optimized geometry

Cell and atoms, written as POSCAR:
```
PrTh2Rh
1.0
3.937 0.000 0.000
-1.969 3.410 0.000
0.000 0.000 27.822
Pr Th Rh
3 6 3
Cartesian
0.000 0.000 0.000 Pr
0.000 2.273 18.548 Pr
1.969 1.137 9.274 Pr
0.000 0.000 6.324 Th
0.000 0.000 12.160 Th
0.000 2.273 2.886 Th
0.000 2.273 24.872 Th
1.969 1.137 15.598 Th
1.969 1.137 21.434 Th
0.000 0.000 23.168 Rh
0.000 2.273 13.894 Rh
1.969 1.137 4.620 Rh
```

Properties
total moment = 0.0 μB/cell
electronic total energy = -7.069 eV/atom
space-group type = No. 160
calculated volume = 31.12 A^3/atom
formation enthalpy at 0 K = -326 meV/atom

***

Material: Sc6GeBi2
Method: DFT, PBE
State: optimized geometry

Cell and atoms, written as POSCAR:
```
Sc6GeBi2
1.0
6.440 0.000 0.000
0.000 6.440 0.000
0.000 0.000 13.015
Sc Ge Bi
12 2 4
Cartesian
1.236 1.236 1.906 Sc
1.236 1.236 11.109 Sc
1.353 1.353 6.508 Sc
1.867 4.573 0.000 Sc
1.984 4.455 4.601 Sc
1.984 4.455 8.414 Sc
4.455 1.984 4.601 Sc
4.455 1.984 8.414 Sc
4.573 1.867 0.000 Sc
5.087 5.087 6.508 Sc
5.204 5.204 1.906 Sc
5.204 5.204 11.109 Sc
0.000 0.000 0.000 Ge
3.220 3.220 6.508 Ge
0.000 0.000 4.252 Bi
0.000 0.000 8.763 Bi
3.220 3.220 2.256 Bi
3.220 3.220 10.759 Bi
```

Properties
total moment = 0.0 μB/cell
electronic total energy = -5.696 eV/atom
space-group type = No. 136
calculated volume = 29.99 A^3/atom
formation enthalpy at 0 K = -100 meV/atom

***

Material: Tm4CdPt
Method: DFT, PBE
State: optimized geometry

Cell and atoms, written as POSCAR:
```
Tm4CdPt
1.0
7.289 0.000 0.000
0.000 6.986 0.000
-0.322 0.000 6.898
Tm Cd Pt
8 2 2
Cartesian
0.986 1.105 1.194 Tm
0.825 2.388 4.643 Tm
2.325 4.490 0.855 Tm
2.164 5.989 4.304 Tm
4.802 0.997 2.594 Tm
4.641 2.496 6.043 Tm
6.142 4.598 2.254 Tm
5.981 5.881 5.703 Tm
3.644 0.000 0.000 Cd
3.483 3.493 3.449 Cd
-0.161 0.000 3.449 Pt
0.000 3.493 0.000 Pt
```

Properties
total moment = 0.0 μB/cell
electronic total energy = -4.516 eV/atom
space-group type = No. 14
calculated volume = 29.27 A^3/atom
formation enthalpy at 0 K = -376 meV/atom

***

Material: SrVIn2
Method: DFT, PBE
State: optimized geometry

Cell and atoms, written as POSCAR:
```
SrVIn2
1.0
5.253 0.000 0.000
0.000 5.253 0.000
0.000 0.000 19.479
Sr V In
4 4 8
Cartesian
0.000 0.000 0.000 Sr
0.000 2.627 4.870 Sr
2.627 0.000 14.610 Sr
2.627 2.627 9.740 Sr
0.000 0.000 9.740 V
0.000 2.627 14.610 V
2.627 0.000 4.870 V
2.627 2.627 0.000 V
0.558 1.313 12.175 In
1.313 3.184 17.044 In
1.313 4.696 7.305 In
2.069 1.313 2.435 In
3.184 3.940 2.435 In
3.940 0.558 7.305 In
3.940 2.069 17.044 In
4.696 3.940 12.175 In
```

Properties
total moment = 14.4 μB/cell
electronic total energy = -3.686 eV/atom
space-group type = No. 122
calculated volume = 33.60 A^3/atom
formation enthalpy at 0 K = 383 meV/atom